[1]
First-principles (PBE) data for a relaxed AsPdPt5 crystal, as listed in Alexandria via LeMat-Bulk.

Unit cell a=3.9329 b=3.9329 c=7.4038 alpha=90.00 beta=90.00 gamma=90.00
Last column: nearest neighbours and their distance in Å.
Space group P4/mmm (No. 123)
Inequivalent atoms, fractional coordinates:
As 0.0000 0.0000 0.0000  8 Pt 2.55
Pd 0.0000 0.0000 0.5000  12 Pt 2.78-2.86
Pt 0.0000 0.5000 0.2201  2 As 2.55, 6 Pt 2.78-2.86, 2 Pd 2.86
Pt 0.5000 0.5000 0.5000  4 Pd 2.78, 8 Pt 2.86

## Properties
- E (eV per atom) = -5.823
- D(E_F) (states/eV per atom) = 1.06
- energy relative to the elements (eV per atom) = -0.1018


[2]
First-principles (PBE) data for a relaxed PuCd6Ag6 crystal, as listed in Alexandria via LeMat-Bulk.

Unit cell a=5.6028 b=9.8124 c=9.9912 alpha=90.00 beta=90.00 gamma=90.00
Last column: nearest neighbours and their distance in Å.
Space group Immm (No. 71)
Inequivalent atoms, fractional coordinates:
Pu 0.0000 0.0000 0.0000  8 Cd 3.40-3.46, 12 Ag 3.57-3.77
Cd 0.0000 0.0000 0.3468  6 Ag 2.99-3.10, 3 Cd 3.06-3.20
Cd 0.0000 0.3460 0.0000  6 Ag 3.01-3.04, 1 Cd 3.02
Cd 0.0000 0.5000 0.3079  6 Ag 2.88-2.93, 2 Cd 3.20
Ag 0.0000 0.2749 0.5000  4 Ag 2.87, 6 Cd 2.93-3.10
Ag 0.2500 0.2500 0.2500  4 Ag 2.80-2.87, 6 Cd 2.88-3.01

## Properties
- E (eV per atom) = -2.879
- D(E_F) (states/eV per atom) = 1.59
- energy relative to the elements (eV per atom) = -0.0383


[3]
First-principles (PBE) data for a relaxed RePb2AuN crystal, as listed in Alexandria via LeMat-Bulk.

Unit cell a=5.3395 b=5.3395 c=5.0716 alpha=90.00 beta=90.00 gamma=90.00
Last column: nearest neighbours and their distance in Å.
Space group P4/mmm (No. 123)
Inequivalent atoms, fractional coordinates:
Re 0.0000 0.0000 0.0000  2 Au 2.54, 4 Pb 2.67
Pb 0.0000 0.5000 0.0000  2 Re 2.67
Au 0.0000 0.0000 0.5000  2 Re 2.54
N 0.5000 0.5000 0.5000  8 Pb 3.68, 4 Au 3.78

## Properties
- E (eV per atom) = -4.687
- D(E_F) (states/eV per atom) = 0.94
- formation energy (no corrections) (eV/atom) = 1.607